! Ac4SbAs3 PBE optimized geometry; values from VASP
&SYSTEM
  ibrav = 0, nat = 8, ntyp = 3
/
ATOMIC_SPECIES
Ac 227.00 Ac.upf
Sb 121.76 Sb.upf
As 74.92 As.upf
ATOMIC_POSITIONS crystal
Ac 0.000 0.000 0.000
Ac 0.000 0.500 0.500
Ac 0.500 0.000 0.500
Ac 0.500 0.500 0.000
Sb 0.500 0.500 0.500
As 0.000 0.000 0.500
As 0.000 0.500 0.000
As 0.500 0.000 0.000
CELL_PARAMETERS angstrom
6.534 0.000 0.000
0.000 6.534 0.000
0.000 0.000 6.534
! Volume ... 278.94 Å³/cell
! Uncorrected formation energy ... -1385 meV/atom